[1]
This record from Alexandria via LeMat-Bulk describes a geometry-optimized Ce8TlOs2 structure. The functional is GGA-PBE.

The structure in POSCAR format:
```
Ce8TlOs2
1.0
5.4039 0.6195 0.0000
1.1355 8.3387 0.0000
0.5677 4.1693 6.6034
Ce Os Tl
8 2 1
Direct
0.5000 0.7458 0.5085
0.0587 0.6866 0.2203
0.9413 0.3134 0.7797
0.3095 0.4227 0.0000
0.9413 0.0930 0.2203
0.0587 0.9070 0.7797
0.5000 0.2542 0.4915
0.6905 0.5773 0.0000
0.0000 0.2920 0.4160
0.0000 0.7080 0.5840
0.5000 0.0000 0.0000
```

Output
M_tot   3.55 μB per formula unit
Space-group type   C2/m (12)
Distance to the lowest polymorph of the same formula   0.020 eV per atom

=====

[2]
This record from Alexandria via LeMat-Bulk describes a geometry-optimized OsPt2Cl structure. The functional is GGA-PBE.

The structure in POSCAR format:
```
OsPt2Cl
1.0
4.6894 0.0029 -0.0012
3.8501 2.6771 -0.0012
1.1284 0.3541 6.3579
Cl Os Pt
1 1 2
Direct
0.3685 0.3685 0.5221
0.7913 0.7913 0.8359
0.0471 0.0471 0.9628
0.2931 0.2931 0.1792
```

Output
M_tot   0.00 μB per formula unit
Space-group type   Cm (8)
Energy relative to the elements, uncorrected   145 kJ/mol of formula units
Distance to the lowest polymorph of the same formula   0.077 eV per atom

=====

[3]
This record from Alexandria via LeMat-Bulk describes a geometry-optimized K3Tl4Hg2 structure. The functional is GGA-PBE.

The structure in POSCAR format:
```
K3Tl4Hg2
1.0
-3.1458 -3.1706 2.8722
4.0532 -3.6014 -4.4452
5.5074 2.1248 8.3776
Tl Hg K
4 2 3
Direct
0.0815 0.1631 0.6517
0.3052 0.6105 0.9421
0.9185 0.8369 0.3483
0.6948 0.3895 0.0579
0.2939 0.5878 0.2482
0.7061 0.4122 0.7518
0.0000 0.0000 0.0000
0.6227 0.2455 0.3747
0.3773 0.7545 0.6253
```

Output
M_tot   0.00 μB per formula unit
Space-group type   C2/m (12)
Distance to the lowest polymorph of the same formula   0.024 eV per atom

=====

[4]
This record from Alexandria via LeMat-Bulk describes a geometry-optimized SmTm2Al9 structure. The functional is GGA-PBE.

The structure in POSCAR format:
```
SmTm2Al9
1.0
5.5595 0.0000 0.0000
2.7798 4.8147 0.0000
2.7798 1.6049 8.7404
Al Sm Tm
9 1 2
Direct
0.0767 0.5878 0.7478
0.5878 0.0767 0.7478
0.4122 0.4122 0.2522
0.5878 0.5878 0.7478
0.4122 0.9233 0.2522
0.9233 0.4122 0.2522
0.3355 0.3355 0.9936
0.5000 0.5000 0.5000
0.6645 0.6645 0.0064
0.0000 0.0000 0.0000
0.8578 0.8578 0.4267
0.1422 0.1422 0.5733
```

Output
M_tot   0.00 μB per formula unit
Space-group type   R-3m (166)
Distance to the lowest polymorph of the same formula   0.033 eV per atom

=====

Repeat the second record exactly.
This record from Alexandria via LeMat-Bulk describes a geometry-optimized OsPt2Cl structure. The functional is GGA-PBE.

The structure in POSCAR format:
```
OsPt2Cl
1.0
4.6894 0.0029 -0.0012
3.8501 2.6771 -0.0012
1.1284 0.3541 6.3579
Cl Os Pt
1 1 2
Direct
0.3685 0.3685 0.5221
0.7913 0.7913 0.8359
0.0471 0.0471 0.9628
0.2931 0.2931 0.1792
```

Output
M_tot   0.00 μB per formula unit
Space-group type   Cm (8)
Energy relative to the elements, uncorrected   145 kJ/mol of formula units
Distance to the lowest polymorph of the same formula   0.077 eV per atom

=====

Question: Which of these has the lowest distance to the lowest polymorph of the same formula?
Answer: Ce8TlOs2

=====

Please write out number 2 again, unchanged.
This record from Alexandria via LeMat-Bulk describes a geometry-optimized OsPt2Cl structure. The functional is GGA-PBE.

The structure in POSCAR format:
```
OsPt2Cl
1.0
4.6894 0.0029 -0.0012
3.8501 2.6771 -0.0012
1.1284 0.3541 6.3579
Cl Os Pt
1 1 2
Direct
0.3685 0.3685 0.5221
0.7913 0.7913 0.8359
0.0471 0.0471 0.9628
0.2931 0.2931 0.1792
```

Output
M_tot   0.00 μB per formula unit
Space-group type   Cm (8)
Energy relative to the elements, uncorrected   145 kJ/mol of formula units
Distance to the lowest polymorph of the same formula   0.077 eV per atom

=====

Question: Which of these has the highest M_tot?
Answer: Ce8TlOs2